No. 1
Below is an optimized crystal structure of PmInHgPt, with properties calculated at the PBE-GGA level.

Summary:
Symmetry: No. 216
Energy of formation from the pure elements, eV per atom: -0.61
Final energy, eV/f.u.: -16.275

Cell: 5.027 5.027 5.027 Å, 60.00 60.00 60.00°
Fractional coordinates of all 4 atoms:
1 Pm 0.000 0.000 0.000
2 In 0.500 0.500 0.500
3 Hg 0.250 0.250 0.250
4 Pt 0.750 0.750 0.750



No. 2
Below is an optimized crystal structure of PmCo3Ge3, with properties calculated at the PBE-GGA level.

Summary:
Symmetry: No. 176
Energy of formation from the pure elements, eV per atom: -0.33
Final energy, eV/f.u.: -42.250

Cell: 8.269 8.269 4.052 Å, 90.00 90.00 120.00°
Fractional coordinates of all 14 atoms:
1 Pm 0.333 0.667 0.250
2 Pm 0.667 0.333 0.750
3 Co 0.058 0.201 0.250
4 Co 0.143 0.942 0.250
5 Co 0.201 0.143 0.750
6 Co 0.799 0.857 0.250
7 Co 0.857 0.058 0.750
8 Co 0.942 0.799 0.750
9 Ge 0.098 0.372 0.750
10 Ge 0.274 0.902 0.750
11 Ge 0.372 0.274 0.250
12 Ge 0.628 0.726 0.750
13 Ge 0.726 0.098 0.250
14 Ge 0.902 0.628 0.250



No. 3
Below is an optimized crystal structure of SrGa2Mo, with properties calculated at the PBE-GGA level.

Summary:
Symmetry: No. 122
Energy of formation from the pure elements, eV per atom: 0.38
Final energy, eV/f.u.: -17.060

Cell: 9.474 9.474 9.474 Å, 148.81 148.81 44.69°
Fractional coordinates of all 8 atoms:
1 Sr 0.000 0.000 0.000
2 Sr 0.750 0.250 0.500
3 Ga 0.315 0.625 0.190
4 Ga 0.375 0.565 0.690
5 Ga 0.435 0.125 0.810
6 Ga 0.875 0.685 0.310
7 Mo 0.250 0.750 0.500
8 Mo 0.500 0.500 0.000



No. 4
Below is an optimized crystal structure of La8TcGe2, with properties calculated at the PBE-GGA level.

Summary:
Symmetry: No. 8
Energy of formation from the pure elements, eV per atom: -0.28
Final energy, eV/f.u.: -62.100

Cell: 8.253 8.253 6.146 Å, 104.19 104.19 115.54°
Fractional coordinates of all 11 atoms:
1 La 0.000 0.000 0.000
2 La 0.307 0.307 0.709
3 La 0.379 0.824 0.844
4 La 0.407 0.630 0.337
5 La 0.630 0.407 0.337
6 La 0.765 0.999 0.398
7 La 0.824 0.379 0.844
8 La 0.999 0.765 0.398
9 Tc 0.630 0.630 0.931
10 Ge 0.013 0.397 0.388
11 Ge 0.397 0.013 0.388



No. 5
Below is an optimized crystal structure of Mn2BCCl, with properties calculated at the PBE-GGA level.

Summary:
Symmetry: No. 123
Final energy, eV/f.u.: -34.049

Cell: 4.583 4.583 2.935 Å, 90.00 90.00 90.00°
Fractional coordinates of all 5 atoms:
1 Mn 0.000 0.500 0.000
2 Mn 0.500 0.000 0.000
3 B 0.000 0.000 0.000
4 C 0.000 0.000 0.500
5 Cl 0.500 0.500 0.500



No. 6
Below is an optimized crystal structure of CaTeCl2, with properties calculated at the PBE-GGA level.

Summary:
Symmetry: No. 71
Final energy, eV/f.u.: -13.720

Cell: 6.429 6.429 6.429 Å, 147.50 114.96 74.61°
Fractional coordinates of all 4 atoms:
1 Ca 0.000 0.000 0.000
2 Te 0.500 0.500 0.000
3 Cl 0.189 0.689 0.500
4 Cl 0.811 0.311 0.500



Q: What is the final energy in the fifth record?
A: -34.049 eV/f.u.